1.
# Ag5Sn3Br12 PBE relaxed
# **DFT total energy**: -2.77 eV/atom
# **Crystal system**: cubic
# **Uncorrected formation energy**: -0.4564 eV/atom
# **M_tot**: 0.00 Bohr magnetons per cell
data_Ag5Sn3Br12
_space_group_name_H-M_alt 'I a -3 d'
_space_group_IT_number 230
_space_group_name_Hall '-I 4bd 2c 3'
_cell_length_a 17.0597
_cell_length_b 17.0597
_cell_length_c 17.0597
_cell_angle_alpha 90.00
_cell_angle_beta 90.00
_cell_angle_gamma 90.00
loop_
_atom_site_label
_atom_site_type_symbol
_atom_site_fract_x
_atom_site_fract_y
_atom_site_fract_z
Ag1 Ag 0.0000 0.0000 0.0000
Ag2 Ag 0.0000 0.2500 0.3750
Sn1 Sn 0.0000 0.2500 0.1250
Br1 Br 0.0231 0.0653 0.6514

2.
# AgSn2Br PBE relaxed
# **Polymorph energy (0 for the lowest one)**: 0.243 kcal/mol of atoms
# **DFT total energy**: -2.98 eV/atom
# **Crystal system**: tetragonal
# **Uncorrected formation energy**: 0.1545 eV/atom
# **M_tot**: 0.00 Bohr magnetons per cell
data_AgSn2Br
_space_group_name_H-M_alt 'I -4 2 d'
_space_group_IT_number 122
_space_group_name_Hall 'I -4 2bw'
_cell_length_a 6.4519
_cell_length_b 6.4519
_cell_length_c 13.7801
_cell_angle_alpha 90.00
_cell_angle_beta 90.00
_cell_angle_gamma 90.00
loop_
_atom_site_label
_atom_site_type_symbol
_atom_site_fract_x
_atom_site_fract_y
_atom_site_fract_z
Ag1 Ag 0.0000 0.0000 0.0000
Sn1 Sn 0.1948 0.2500 0.1250
Br1 Br 0.0000 0.0000 0.5000

3.
# Ag3Sn2Br8 PBE relaxed
# **Polymorph energy (0 for the lowest one)**: 0.092 kcal/mol of atoms
# **DFT total energy**: -2.78 eV/atom
# **Crystal system**: monoclinic
# **Uncorrected formation energy**: -0.4749 eV/atom
# **M_tot**: 0.00 Bohr magnetons per cell
data_Ag3Sn2Br8
_space_group_name_H-M_alt 'C 1 2/m 1'
_space_group_IT_number 12
_cell_length_a 14.9450
_cell_length_b 7.9769
_cell_length_c 7.3033
_cell_angle_alpha 90.00
_cell_angle_beta 104.83
_cell_angle_gamma 90.00
loop_
_space_group_symop_operation_xyz
'x,y,z'
'-x,-y,-z'
'-x,y,-z'
'x,-y,z'
'x+1/2,y+1/2,z'
'-x+1/2,-y+1/2,-z'
'-x+1/2,y+1/2,-z'
'x+1/2,-y+1/2,z'
loop_
_atom_site_label
_atom_site_type_symbol
_atom_site_fract_x
_atom_site_fract_y
_atom_site_fract_z
Ag1 Ag 0.0000 0.0000 0.0000
Ag2 Ag 0.0000 0.2632 0.5000
Sn1 Sn 0.2427 0.0000 0.8169
Br1 Br 0.1114 0.5000 0.4105
Br2 Br 0.1149 0.0000 0.4404
Br3 Br 0.1200 0.2402 0.9173

4.
# Ag6SnBr12 PBE relaxed
# **DFT total energy**: -2.53 eV/atom
# **Crystal system**: trigonal
# **Uncorrected formation energy**: -0.3600 eV/atom
# **M_tot**: 0.00 Bohr magnetons per cell
data_Ag6SnBr12
_space_group_name_H-M_alt 'R -3'
_space_group_IT_number 148
_space_group_name_Hall '-R 3'
_cell_length_a 11.3444
_cell_length_b 11.3444
_cell_length_c 17.5571
_cell_angle_alpha 90.00
_cell_angle_beta 90.00
_cell_angle_gamma 120.00
loop_
_atom_site_label
_atom_site_type_symbol
_atom_site_fract_x
_atom_site_fract_y
_atom_site_fract_z
Ag1 Ag 0.0356 0.2627 0.1575
Sn1 Sn 0.0000 0.0000 0.5000
Br1 Br 0.0227 0.2082 0.8919
Br2 Br 0.0684 0.2142 0.4104

5.
# Ag2Sn2Br PBE relaxed
# **Polymorph energy (0 for the lowest one)**: 0.000 kcal/mol of atoms
# **DFT total energy**: -3.09 eV/atom
# **Crystal system**: tetragonal
# **Uncorrected formation energy**: -0.0102 eV/atom
# **M_tot**: 0.00 Bohr magnetons per cell
data_Ag2Sn2Br
_space_group_name_H-M_alt 'P 4/m b m'
_space_group_IT_number 127
_space_group_name_Hall '-P 4 2ab'
_cell_length_a 8.5112
_cell_length_b 8.5112
_cell_length_c 3.4136
_cell_angle_alpha 90.00
_cell_angle_beta 90.00
_cell_angle_gamma 90.00
loop_
_atom_site_label
_atom_site_type_symbol
_atom_site_fract_x
_atom_site_fract_y
_atom_site_fract_z
Ag1 Ag 0.1153 0.3847 0.0000
Sn1 Sn 0.1866 0.6866 0.5000
Br1 Br 0.0000 0.0000 0.5000

6.
# Ag3Sn2Br7 PBE relaxed
# **DFT total energy**: -2.88 eV/atom
# **Crystal system**: orthorhombic
# **Uncorrected formation energy**: -0.5283 eV/atom
# **M_tot**: 0.00 Bohr magnetons per cell
data_Ag3Sn2Br7
_space_group_name_H-M_alt 'C m c 21'
_space_group_IT_number 36
_cell_length_a 26.3471
_cell_length_b 7.6461
_cell_length_c 7.4906
_cell_angle_alpha 90.00
_cell_angle_beta 90.00
_cell_angle_gamma 90.00
loop_
_space_group_symop_operation_xyz
'x,y,z'
'-x,-y,z+1/2'
'-x,y,z'
'x,-y,z+1/2'
'x+1/2,y+1/2,z'
'-x+1/2,-y+1/2,z+1/2'
'-x+1/2,y+1/2,z'
'x+1/2,-y+1/2,z+1/2'
loop_
_atom_site_label
_atom_site_type_symbol
_atom_site_fract_x
_atom_site_fract_y
_atom_site_fract_z
Ag1 Ag 0.0000 0.2368 0.0000
Ag2 Ag 0.2019 0.3088 0.9481
Sn1 Sn 0.1038 0.2366 0.4946
Br1 Br 0.0000 0.1006 0.3339
Br2 Br 0.0778 0.4211 0.8484
Br3 Br 0.1474 0.1003 0.1712
Br4 Br 0.2075 0.3538 0.5859

7.
# Ag2Sn5Br12 PBE relaxed
# **Polymorph energy (0 for the lowest one)**: 0.000 kcal/mol of atoms
# **DFT total energy**: -3.05 eV/atom
# **Crystal system**: monoclinic
# **Uncorrected formation energy**: -0.6398 eV/atom
# **M_tot**: 0.00 Bohr magnetons per cell
data_Ag2Sn5Br12
_space_group_name_H-M_alt 'C 1 2/m 1'
_space_group_IT_number 12
_cell_length_a 15.8445
_cell_length_b 8.4227
_cell_length_c 11.2211
_cell_angle_alpha 90.00
_cell_angle_beta 112.84
_cell_angle_gamma 90.00
loop_
_space_group_symop_operation_xyz
'x,y,z'
'-x,-y,-z'
'-x,y,-z'
'x,-y,z'
'x+1/2,y+1/2,z'
'-x+1/2,-y+1/2,-z'
'-x+1/2,y+1/2,-z'
'x+1/2,-y+1/2,z'
loop_
_atom_site_label
_atom_site_type_symbol
_atom_site_fract_x
_atom_site_fract_y
_atom_site_fract_z
Ag1 Ag 0.0000 0.1803 0.0000
Sn1 Sn 0.0000 0.5000 0.5000
Sn2 Sn 0.1642 0.0000 0.3728
Sn3 Sn 0.2455 0.5000 0.9921
Br1 Br 0.0199 0.0000 0.7957
Br2 Br 0.0769 0.5000 0.7953
Br3 Br 0.1337 0.2460 0.5159
Br4 Br 0.1775 0.2533 0.1297

8.
# Ag2SnBr4 PBE relaxed
# **Polymorph energy (0 for the lowest one)**: 0.954 kcal/mol of atoms
# **DFT total energy**: -2.81 eV/atom
# **Crystal system**: tetragonal
# **Uncorrected formation energy**: -0.4695 eV/atom
# **M_tot**: 0.00 Bohr magnetons per cell
data_Ag2SnBr4
_space_group_name_H-M_alt 'P -4 2 m'
_space_group_IT_number 111
_cell_length_a 6.2581
_cell_length_b 6.2581
_cell_length_c 6.5301
_cell_angle_alpha 90.00
_cell_angle_beta 90.00
_cell_angle_gamma 90.00
loop_
_space_group_symop_operation_xyz
'x,y,z'
'y,-x,-z'
'-x,-y,z'
'-y,x,-z'
'x,-y,-z'
'y,x,z'
'-x,y,-z'
'-y,-x,z'
loop_
_atom_site_label
_atom_site_type_symbol
_atom_site_fract_x
_atom_site_fract_y
_atom_site_fract_z
Ag1 Ag 0.0000 0.5000 0.0000
Sn1 Sn 0.0000 0.0000 0.5000
Br1 Br 0.2663 0.2663 0.7564

9.
# Ag2Sn2Br PBE relaxed
# **Polymorph energy (0 for the lowest one)**: 3.156 kcal/mol of atoms
# **DFT total energy**: -2.95 eV/atom
# **Crystal system**: tetragonal
# **Uncorrected formation energy**: 0.1267 eV/atom
# **M_tot**: 0.00 Bohr magnetons per cell
data_Ag2Sn2Br
_space_group_name_H-M_alt 'I 4/m m m'
_space_group_IT_number 139
_space_group_name_Hall '-I 4 2'
_cell_length_a 4.3601
_cell_length_b 4.3601
_cell_length_c 13.8011
_cell_angle_alpha 90.00
_cell_angle_beta 90.00
_cell_angle_gamma 90.00
loop_
_atom_site_label
_atom_site_type_symbol
_atom_site_fract_x
_atom_site_fract_y
_atom_site_fract_z
Ag1 Ag 0.0000 0.0000 0.1038
Sn1 Sn 0.0000 0.5000 0.2500
Br1 Br 0.0000 0.0000 0.5000

10.
# Ag2Sn5Br12 PBE relaxed
# **Polymorph energy (0 for the lowest one)**: 0.231 kcal/mol of atoms
# **DFT total energy**: -3.04 eV/atom
# **Crystal system**: monoclinic
# **Uncorrected formation energy**: -0.6298 eV/atom
# **M_tot**: 0.00 Bohr magnetons per cell
data_Ag2Sn5Br12
_space_group_name_H-M_alt 'C 1 2/m 1'
_space_group_IT_number 12
_cell_length_a 16.6612
_cell_length_b 7.9879
_cell_length_c 10.2107
_cell_angle_alpha 90.00
_cell_angle_beta 107.44
_cell_angle_gamma 90.00
loop_
_space_group_symop_operation_xyz
'x,y,z'
'-x,-y,-z'
'-x,y,-z'
'x,-y,z'
'x+1/2,y+1/2,z'
'-x+1/2,-y+1/2,-z'
'-x+1/2,y+1/2,-z'
'x+1/2,-y+1/2,z'
loop_
_atom_site_label
_atom_site_type_symbol
_atom_site_fract_x
_atom_site_fract_y
_atom_site_fract_z
Ag1 Ag 0.0000 0.2046 0.0000
Sn1 Sn 0.0000 0.0000 0.5000
Sn2 Sn 0.1738 0.5000 0.7758
Sn3 Sn 0.1786 0.5000 0.3115
Br1 Br 0.0009 0.5000 0.1974
Br2 Br 0.0230 0.0000 0.7934
Br3 Br 0.1396 0.2610 0.5557
Br4 Br 0.1779 0.2539 0.1145

11.
# AgSnBr4 PBE relaxed
# **Polymorph energy (0 for the lowest one)**: 1.037 kcal/mol of atoms
# **DFT total energy**: -2.72 eV/atom
# **Crystal system**: orthorhombic
# **Uncorrected formation energy**: -0.4580 eV/atom
# **M_tot**: 0.00 Bohr magnetons per cell
data_AgSnBr4
_space_group_name_H-M_alt 'P 2 2 2'
_space_group_IT_number 16
_cell_length_a 7.0308
_cell_length_b 7.3734
_cell_length_c 8.7062
_cell_angle_alpha 90.00
_cell_angle_beta 90.00
_cell_angle_gamma 90.00
loop_
_space_group_symop_operation_xyz
'x,y,z'
'-x,-y,z'
'x,-y,-z'
'-x,y,-z'
loop_
_atom_site_label
_atom_site_type_symbol
_atom_site_fract_x
_atom_site_fract_y
_atom_site_fract_z
Ag1 Ag 0.0000 0.0000 0.0000
Ag2 Ag 0.5000 0.0000 0.5000
Sn1 Sn 0.0000 0.0000 0.5000
Sn2 Sn 0.0000 0.5000 0.0000
Br1 Br 0.2200 0.2890 0.1421
Br2 Br 0.2685 0.1902 0.6929

12.
# Ag2SnBr6 PBE relaxed
# **Polymorph energy (0 for the lowest one)**: 0.000 kcal/mol of atoms
# **DFT total energy**: -2.67 eV/atom
# **Crystal system**: monoclinic
# **Uncorrected formation energy**: -0.4760 eV/atom
# **M_tot**: 0.00 Bohr magnetons per cell
data_Ag2SnBr6
_space_group_name_H-M_alt 'C 1 2/c 1'
_space_group_IT_number 15
_cell_length_a 16.8077
_cell_length_b 13.7987
_cell_length_c 6.9302
_cell_angle_alpha 90.00
_cell_angle_beta 111.54
_cell_angle_gamma 90.00
loop_
_space_group_symop_operation_xyz
'x,y,z'
'-x,-y,-z'
'-x,y,-z+1/2'
'x,-y,z+1/2'
'x+1/2,y+1/2,z'
'-x+1/2,-y+1/2,-z'
'-x+1/2,y+1/2,-z+1/2'
'x+1/2,-y+1/2,z+1/2'
loop_
_atom_site_label
_atom_site_type_symbol
_atom_site_fract_x
_atom_site_fract_y
_atom_site_fract_z
Ag1 Ag 0.2184 0.0016 0.3987
Sn1 Sn 0.0000 0.2856 0.2500
Br1 Br 0.0737 0.1824 0.5581
Br2 Br 0.1058 0.3930 0.1796
Br3 Br 0.2155 0.1306 0.1427

13.
# SrAg2SnBr6 PBE relaxed
# **DFT total energy**: -3.11 eV/atom
# **Crystal system**: trigonal
# **Uncorrected formation energy**: -0.9720 eV/atom
# **M_tot**: 0.00 Bohr magnetons per cell
data_SrAg2SnBr6
_space_group_name_H-M_alt 'R 3'
_space_group_IT_number 146
_space_group_name_Hall 'R 3'
_cell_length_a 7.5023
_cell_length_b 7.5023
_cell_length_c 21.1388
_cell_angle_alpha 90.00
_cell_angle_beta 90.00
_cell_angle_gamma 120.00
loop_
_atom_site_label
_atom_site_type_symbol
_atom_site_fract_x
_atom_site_fract_y
_atom_site_fract_z
Sr1 Sr 0.0000 0.0000 0.0000
Ag1 Ag 0.0000 0.0000 0.3254
Ag2 Ag 0.0000 0.0000 0.7422
Sn1 Sn 0.0000 0.0000 0.5177
Br1 Br 0.0028 0.6578 0.9213
Br2 Br 0.0285 0.3536 0.0821

14.
# Ag2SnTeBr PBE relaxed
# **DFT total energy**: -2.52 eV/atom
# **Crystal system**: tetragonal
# **Uncorrected formation energy**: 0.3842 eV/atom
# **M_tot**: 0.00 Bohr magnetons per cell
data_Ag2SnTeBr
_space_group_name_H-M_alt 'P 4/m m m'
_space_group_IT_number 123
_space_group_name_Hall '-P 4 2'
_cell_length_a 5.0944
_cell_length_b 5.0944
_cell_length_c 6.0667
_cell_angle_alpha 90.00
_cell_angle_beta 90.00
_cell_angle_gamma 90.00
loop_
_atom_site_label
_atom_site_type_symbol
_atom_site_fract_x
_atom_site_fract_y
_atom_site_fract_z
Ag1 Ag 0.0000 0.5000 0.0000
Sn1 Sn 0.0000 0.0000 0.5000
Te1 Te 0.5000 0.5000 0.5000
Br1 Br 0.0000 0.0000 0.0000

15.
# Ag2SnTe2Br2 PBE relaxed
# **DFT total energy**: -2.97 eV/atom
# **Crystal system**: monoclinic
# **Uncorrected formation energy**: -0.2071 eV/atom
# **M_tot**: 0.00 Bohr magnetons per cell
data_Ag2SnTe2Br2
_space_group_name_H-M_alt 'C 1 2/m 1'
_space_group_IT_number 12
_cell_length_a 15.2230
_cell_length_b 3.9621
_cell_length_c 8.3911
_cell_angle_alpha 90.00
_cell_angle_beta 118.25
_cell_angle_gamma 90.00
loop_
_space_group_symop_operation_xyz
'x,y,z'
'-x,-y,-z'
'-x,y,-z'
'x,-y,z'
'x+1/2,y+1/2,z'
'-x+1/2,-y+1/2,-z'
'-x+1/2,y+1/2,-z'
'x+1/2,-y+1/2,z'
loop_
_atom_site_label
_atom_site_type_symbol
_atom_site_fract_x
_atom_site_fract_y
_atom_site_fract_z
Ag1 Ag 0.1494 0.0000 0.2763
Sn1 Sn 0.0000 0.0000 0.5000
Te1 Te 0.0060 0.5000 0.2348
Br1 Br 0.2215 0.0000 0.7100

16.
# Ag5SnTe4Br2 PBE relaxed
# **DFT total energy**: -3.00 eV/atom
# **Crystal system**: orthorhombic
# **Uncorrected formation energy**: -0.1499 eV/atom
# **M_tot**: 0.00 Bohr magnetons per cell
data_Ag5SnTe4Br2
_space_group_name_H-M_alt 'A m m 2'
_space_group_IT_number 38
_cell_length_a 8.4329
_cell_length_b 12.8926
_cell_length_c 6.7474
_cell_angle_alpha 90.00
_cell_angle_beta 90.00
_cell_angle_gamma 90.00
loop_
_space_group_symop_operation_xyz
'x,y,z'
'-x,-y,z'
'-x,y,z'
'x,-y,z'
'x,y+1/2,z+1/2'
'-x,-y+1/2,z+1/2'
'-x,y+1/2,z+1/2'
'x,-y+1/2,z+1/2'
loop_
_atom_site_label
_atom_site_type_symbol
_atom_site_fract_x
_atom_site_fract_y
_atom_site_fract_z
Ag1 Ag 0.0000 0.0000 0.0000
Ag2 Ag 0.2663 0.1826 0.5148
Sn1 Sn 0.5000 0.0000 0.0666
Te1 Te 0.2290 0.0000 0.3011
Te2 Te 0.5000 0.1847 0.8375
Br1 Br 0.0000 0.1743 0.7651

17.
# TlAgSnBr5 PBE relaxed
# **DFT total energy**: -2.81 eV/atom
# **Crystal system**: monoclinic
# **Uncorrected formation energy**: -0.6130 eV/atom
# **M_tot**: 0.00 Bohr magnetons per cell
data_TlAgSnBr5
_space_group_name_H-M_alt 'C 1 2/c 1'
_space_group_IT_number 15
_cell_length_a 9.3954
_cell_length_b 12.6654
_cell_length_c 10.9134
_cell_angle_alpha 90.00
_cell_angle_beta 113.75
_cell_angle_gamma 90.00
loop_
_space_group_symop_operation_xyz
'x,y,z'
'-x,-y,-z'
'-x,y,-z+1/2'
'x,-y,z+1/2'
'x+1/2,y+1/2,z'
'-x+1/2,-y+1/2,-z'
'-x+1/2,y+1/2,-z+1/2'
'x+1/2,-y+1/2,z+1/2'
loop_
_atom_site_label
_atom_site_type_symbol
_atom_site_fract_x
_atom_site_fract_y
_atom_site_fract_z
Tl1 Tl 0.0000 0.1609 0.2500
Ag1 Ag 0.0000 0.2054 0.7500
Sn1 Sn 0.0000 0.5000 0.0000
Br1 Br 0.0000 0.4478 0.2500
Br2 Br 0.1013 0.2898 0.5783
Br3 Br 0.1894 0.0565 0.9217